Density functional theory data (PBE) for crystalline Y12HoEr7 at its relaxed geometry.

Calculated values
Fermi-level density of states in states/eV/f.u.: 30.74
Calculated volume in Å³ per atom: 33.42
Energy relative to the elements in meV per atom: 335

a = 18.6127 Å, b = 18.6127 Å, c = 6.6844 Å
α = 90.00°, β = 90.00°, γ = 120.00°
Space group R-3 (No. 148, hexagonal axes)
Unique sites:
Y  0.9995  0.2090  0.2069 [18 per cell]
Y  0.0076  0.4697  0.2377 [18 per cell]
Ho  0.0000  0.0000  0.5000 [3 per cell]
Er  0.0000  0.0000  0.0000 [3 per cell]
Er  0.0102  0.8546  0.2897 [18 per cell]

***

Density functional theory data (PBE) for crystalline Y3Ho2Er7 at its relaxed geometry.

Calculated values
Fermi-level density of states in states/eV/f.u.: 18.52
Calculated volume in Å³ per atom: 31.40
Energy relative to the elements in meV per atom: 107

a = 5.6400 Å, b = 37.3424 Å, c = 3.5776 Å
α = 90.00°, β = 90.00°, γ = 90.00°
Space group Cmmm (No. 65)
Unique sites:
Y  0.0000  0.0000  0.0000 [2 per cell]
Y  0.0000  0.1848  0.0000 [4 per cell]
Ho  0.0000  0.3529  0.5000 [4 per cell]
Er  0.0000  0.0916  0.5000 [4 per cell]
Er  0.0000  0.2693  0.5000 [4 per cell]
Er  0.0000  0.4283  0.0000 [4 per cell]
Er  0.0000  0.5000  0.5000 [2 per cell]